Record 1
SrSc2Mn at its PBEsol-relaxed geometry, computed with meta-GGA SCAN.

E_form	0.50	eV per atom
magnetic moment	0.0	μB per formula unit

a = 3.4048 Å, b = 3.4048 Å, c = 9.7988 Å
α = 80.00°, β = 80.00°, γ = 60.00°
With the nearest neighbours (Å) after each atom.
Atoms (fractional coordinates):
1 Mn 0.0000 0.0000 0.0000  6 Sc 2.56
2 Sc 0.2765 0.2765 0.1706  3 Mn 2.56
3 Sc 0.7235 0.7235 0.8294  3 Mn 2.56
4 Sr 0.5000 0.5000 0.5000  6 Sr 3.40, 6 Sc 3.72

Record 2
In2Sn2Pb at its PBEsol-relaxed geometry, computed with meta-GGA SCAN.

E_form	0.10	eV per atom
magnetic moment	0.0	μB per formula unit

a = 3.5453 Å, b = 8.7345 Å, c = 8.7345 Å
α = 90.00°, β = 90.00°, γ = 90.00°
With the nearest neighbours (Å) after each atom.
Atoms (fractional coordinates):
1 Pb 0.0000 0.0000 0.0000  4 Sn 3.35, 2 Pb 3.55
2 Pb 0.0000 0.5000 0.5000  4 Sn 3.35, 2 Pb 3.55
3 Sn 0.0000 0.3553 0.8553  6 In 3.07-3.14, 2 Pb 3.35
4 Sn 0.0000 0.8553 0.6447  6 In 3.07-3.14, 2 Pb 3.35
5 Sn 0.0000 0.6447 0.1447  6 In 3.07-3.14, 2 Pb 3.35
6 Sn 0.0000 0.1447 0.3553  6 In 3.07-3.14, 2 Pb 3.35
7 In 0.5000 0.1524 0.6524  6 Sn 3.07-3.14
8 In 0.5000 0.6524 0.8476  6 Sn 3.07-3.14
9 In 0.5000 0.8476 0.3476  6 Sn 3.07-3.14
10 In 0.5000 0.3476 0.1524  6 Sn 3.07-3.14

Record 3
SrCuSi at its PBEsol-relaxed geometry, computed with meta-GGA SCAN.

magnetic moment	0.0	μB per formula unit

a = 4.0531 Å, b = 4.0531 Å, c = 4.6268 Å
α = 90.00°, β = 90.00°, γ = 120.00°
With the nearest neighbours (Å) after each atom.
Atoms (fractional coordinates):
1 Sr 0.6667 0.3333 0.5000  6 Si 3.29, 6 Cu 3.29
2 Si 0.3333 0.6667 0.0000  3 Cu 2.34
3 Cu 0.0000 0.0000 0.0000  3 Si 2.34

Record 4
TaMnPt2Cl at its PBEsol-relaxed geometry, computed with meta-GGA SCAN.

magnetic moment	3.2	μB per formula unit

a = 4.7897 Å, b = 4.7897 Å, c = 5.0038 Å
α = 90.00°, β = 90.00°, γ = 90.00°
With the nearest neighbours (Å) after each atom.
Atoms (fractional coordinates):
1 Cl 0.5000 0.5000 0.5000  4 Mn 3.39, 8 Pt 3.46
2 Mn 0.0000 0.0000 0.5000  2 Ta 2.50
3 Pt 0.0000 0.5000 0.0000  2 Ta 2.39
4 Pt 0.5000 0.0000 0.0000  2 Ta 2.39
5 Ta 0.0000 0.0000 0.0000  4 Pt 2.39, 2 Mn 2.50

no.,volume (Å³ per atom),DFT total energy (eV/atom)
1,24.09,-16.7545
2,27.05,-42.7762
3,21.94,-16.1881
4,22.96,-45.6636